(1)
A plane-wave DFT calculation with GGA-PBE was carried out for Be4InTe after structural relaxation.

Unit cell a=4.9929 b=4.9929 c=4.9929 alpha=60.00 beta=60.00 gamma=60.00
Atoms (fractional coordinates):
Be  0.1208  0.1208  0.1208
Be  0.1208  0.1208  0.6377
Be  0.1208  0.6377  0.1208
Be  0.6377  0.1208  0.1208
In  0.7500  0.7500  0.7500
Te  0.5000  0.5000  0.5000

Summary:
- Crystal system: cubic
- Calculated total energy: -2.836 eV/atom
- Uncorrected formation energy: 60.6 kJ/mol of atoms

(2)
A plane-wave DFT calculation with GGA-PBE was carried out for SrZn2PtAu after structural relaxation.

Unit cell a=6.5910 b=6.5910 c=6.5910 alpha=143.73 beta=141.83 gamma=53.67
Atoms (fractional coordinates):
Sr  0.0000  0.0000  0.0000
Zn  0.3815  0.3815  0.0000
Zn  0.7517  0.2517  0.5000
Pt  0.2559  0.7559  0.5000
Au  0.6024  0.6024  0.0000

Summary:
- Crystal system: orthorhombic
- Calculated total energy: -3.193 eV/atom
- E_form: -46.7 kJ/mol of atoms

(3)
A plane-wave DFT calculation with GGA-PBE was carried out for AlB2Pt2Rh5 after structural relaxation.

Unit cell a=9.5496 b=9.5496 c=2.8306 alpha=90.00 beta=90.00 gamma=90.00
Atoms (fractional coordinates):
Al  0.0000  0.0000  0.0000
Al  0.5000  0.5000  0.0000
B  0.1302  0.3698  0.0000
B  0.3698  0.8698  0.0000
B  0.6302  0.1302  0.0000
B  0.8698  0.6302  0.0000
Pt  0.2069  0.7069  0.0000
Pt  0.2931  0.2069  0.0000
Pt  0.7069  0.7931  0.0000
Pt  0.7931  0.2931  0.0000
Rh  0.0000  0.5000  0.5000
Rh  0.0354  0.2187  0.5000
Rh  0.2187  0.9646  0.5000
Rh  0.2813  0.4646  0.5000
Rh  0.4646  0.7187  0.5000
Rh  0.5000  0.0000  0.5000
Rh  0.5354  0.2813  0.5000
Rh  0.7187  0.5354  0.5000
Rh  0.7813  0.0354  0.5000
Rh  0.9646  0.7813  0.5000

Summary:
- Crystal system: tetragonal
- Calculated total energy: -6.912 eV/atom
- E_form: -30.7 kJ/mol of atoms

(4)
A plane-wave DFT calculation with GGA-PBE was carried out for ZrTe2SI after structural relaxation.

Unit cell a=5.1998 b=5.1998 c=5.3958 alpha=90.00 beta=90.00 gamma=90.00
Atoms (fractional coordinates):
Zr  0.0000  0.0000  0.0000
Te  0.0000  0.5000  0.5000
Te  0.5000  0.0000  0.5000
S  0.5000  0.5000  0.5000
I  0.5000  0.5000  0.0000

Summary:
- Crystal system: tetragonal
- Calculated total energy: -3.616 eV/atom
- Uncorrected formation energy: 46.9 kJ/mol of atoms

(5)
A plane-wave DFT calculation with GGA-PBE was carried out for Li3AcSb2 after structural relaxation.

Unit cell a=8.8449 b=8.8449 c=8.4261 alpha=114.48 beta=114.48 gamma=29.81
Atoms (fractional coordinates):
Li  0.0628  0.0628  0.4144
Li  0.3043  0.3043  0.5193
Li  0.4019  0.4019  0.3496
Li  0.5981  0.5981  0.6504
Li  0.6957  0.6957  0.4807
Li  0.9372  0.9372  0.5856
Ac  0.1311  0.1311  0.0440
Ac  0.8689  0.8689  0.9560
Sb  0.2108  0.2108  0.7271
Sb  0.4739  0.4739  0.7712
Sb  0.5261  0.5261  0.2288
Sb  0.7892  0.7892  0.2729

Summary:
- Crystal system: monoclinic
- Calculated total energy: -3.795 eV/atom
- Uncorrected formation energy: -75.2 kJ/mol of atoms

(6)
A plane-wave DFT calculation with GGA-PBE was carried out for TcSbSe2 after structural relaxation.

Unit cell a=3.0659 b=3.0659 c=9.2203 alpha=90.00 beta=90.00 gamma=90.00
Atoms (fractional coordinates):
Tc  0.0000  0.0000  0.0000
Sb  0.5000  0.5000  0.2125
Se  0.0000  0.0000  0.5149
Se  0.5000  0.5000  0.8506

Summary:
- Crystal system: tetragonal
- Calculated total energy: -5.293 eV/atom
- Uncorrected formation energy: 6.9 kJ/mol of atoms